P.
The following is a GGA-PBE calculation of a geometry-optimized KAl2 structure, from Alexandria via LeMat-Bulk.

Cell and atoms, written as POSCAR:
```
KAl2
1.0
-1.863 4.129 -0.469
-2.665 -3.661 0.465
0.062 0.640 5.391
K Al
1 2
direct
0.000 0.000 0.000
0.667 0.333 0.500
0.333 0.667 0.500
```

Summary:
Calculated volume: 97.46 Å³ per cell
Size of the total moment: 0.00 μB/cell
ρ: 1.586 Mg/m³
Fermi-level density of states: 2.03 states/eV/cell



Q.
The following is a GGA-PBE calculation of a geometry-optimized KAl2 structure, from Alexandria via LeMat-Bulk.

Cell and atoms, written as POSCAR:
```
KAl2
1.0
0.065 -2.050 -7.711
-3.002 -5.012 5.435
-4.628 2.119 -0.602
K Al
3 6
direct
0.333 0.667 0.000
0.667 0.333 0.000
0.000 0.000 0.500
0.213 0.000 0.000
0.000 0.213 0.000
0.787 0.787 0.000
0.392 0.000 0.500
0.000 0.392 0.500
0.608 0.608 0.500
```

Summary:
Calculated volume: 282.65 Å³ per cell
Size of the total moment: 0.00 μB/cell
ρ: 1.640 Mg/m³
Fermi-level density of states: 6.54 states/eV/cell



Most stable structure, least stable structure: P, Q.



P.
The following is a GGA-PBE calculation of a geometry-optimized KAl2 structure, from Alexandria via LeMat-Bulk.

Cell and atoms, written as POSCAR:
```
KAl2
1.0
-3.449 6.074 -0.091
3.143 -3.911 -4.860
-4.007 -2.286 -0.751
K Al
2 4
direct
0.226 0.226 0.750
0.774 0.774 0.250
0.849 0.419 0.750
0.151 0.581 0.250
0.419 0.849 0.750
0.581 0.151 0.250
```

Summary:
Calculated volume: 162.90 Å³ per cell
Size of the total moment: 0.00 μB/cell
ρ: 1.897 Mg/m³
Fermi-level density of states: 3.08 states/eV/cell



Q.
The following is a GGA-PBE calculation of a geometry-optimized KAl2 structure, from Alexandria via LeMat-Bulk.

Cell and atoms, written as POSCAR:
```
KAl2
1.0
2.885 0.000 0.000
0.000 6.523 0.000
0.000 0.000 9.019
K Al
2 4
direct
0.000 0.000 0.000
0.500 0.500 0.500
0.754 0.000 0.372
0.246 0.000 0.628
0.254 0.500 0.128
0.746 0.500 0.872
```

Summary:
Calculated volume: 169.75 Å³ per cell
Size of the total moment: 0.00 μB/cell
ρ: 1.821 Mg/m³
Fermi-level density of states: 3.42 states/eV/cell



R.
The following is a GGA-PBE calculation of a geometry-optimized KAl2 structure, from Alexandria via LeMat-Bulk.

Cell and atoms, written as POSCAR:
```
KAl2
1.0
1.623 5.920 -0.020
-1.623 5.920 -0.020
0.000 2.883 8.007
K Al
2 4
direct
0.652 0.652 0.387
0.348 0.348 0.613
0.037 0.037 0.815
0.348 0.348 0.013
0.652 0.652 0.987
0.963 0.963 0.185
```

Summary:
Calculated volume: 154.09 Å³ per cell
Size of the total moment: 0.00 μB/cell
ρ: 2.006 Mg/m³
Fermi-level density of states: 2.67 states/eV/cell



Most stable structure, least stable structure: P, Q.



P.
The following is a GGA-PBE calculation of a geometry-optimized K4Al5 structure, from Alexandria via LeMat-Bulk.

Cell and atoms, written as POSCAR:
```
K4Al5
1.0
4.701 -2.898 -8.081
-0.991 4.518 8.626
0.963 -8.777 4.224
K Al
4 5
direct
0.709 0.000 0.709
0.291 0.000 0.291
0.000 0.291 0.291
0.000 0.709 0.709
0.000 0.000 0.000
0.599 0.401 0.000
0.401 0.599 0.000
0.401 0.401 0.802
0.599 0.599 0.198
```

Summary:
Calculated volume: 374.28 Å³ per cell
Size of the total moment: 0.00 μB/cell
ρ: 1.292 Mg/m³
Fermi-level density of states: 4.10 states/eV/cell



Q.
The following is a GGA-PBE calculation of a geometry-optimized K4Al5 structure, from Alexandria via LeMat-Bulk.

Cell and atoms, written as POSCAR:
```
K4Al5
1.0
-1.769 3.108 9.016
-6.766 -5.007 -4.819
2.387 -5.501 2.365
K Al
8 10
direct
0.000 0.000 0.000
0.000 0.000 0.500
0.000 0.308 0.250
0.692 0.692 0.250
0.308 0.000 0.250
0.000 0.692 0.750
0.308 0.308 0.750
0.692 0.000 0.750
0.000 0.617 0.250
0.383 0.383 0.250
0.617 0.000 0.250
0.000 0.383 0.750
0.617 0.617 0.750
0.383 0.000 0.750
0.667 0.333 0.000
0.333 0.667 0.500
0.333 0.667 0.000
0.667 0.333 0.500
```

Summary:
Calculated volume: 525.13 Å³ per cell
Size of the total moment: 0.00 μB/cell
ρ: 1.842 Mg/m³
Fermi-level density of states: 7.46 states/eV/cell



Most stable structure, least stable structure: P, Q.



P.
The following is a GGA-PBE calculation of a geometry-optimized K4Al structure, from Alexandria via LeMat-Bulk.

Cell and atoms, written as POSCAR:
```
K4Al
1.0
6.860 0.000 0.000
0.000 6.860 0.000
0.000 0.000 6.860
K Al
4 1
direct
0.000 0.000 0.000
0.500 0.000 0.500
0.000 0.500 0.500
0.500 0.500 0.000
0.500 0.500 0.500
```

Summary:
Calculated volume: 322.79 Å³ per cell
Size of the total moment: 0.00 μB/cell
ρ: 0.943 Mg/m³
Fermi-level density of states: 4.48 states/eV/cell



Q.
The following is a GGA-PBE calculation of a geometry-optimized K4Al structure, from Alexandria via LeMat-Bulk.

Cell and atoms, written as POSCAR:
```
K4Al
1.0
-2.609 2.609 10.972
2.609 -2.609 10.972
2.609 2.609 -10.972
K Al
4 1
direct
0.750 0.250 0.500
0.250 0.750 0.500
0.581 0.581 0.000
0.419 0.419 0.000
0.000 0.000 0.000
```

Summary:
Calculated volume: 298.82 Å³ per cell
Size of the total moment: 0.00 μB/cell
ρ: 1.019 Mg/m³
Fermi-level density of states: 4.30 states/eV/cell



Most stable structure, least stable structure: P, Q.



P.
The following is a GGA-PBE calculation of a geometry-optimized KLa3Al structure, from Alexandria via LeMat-Bulk.

Cell and atoms, written as POSCAR:
```
KLa3Al
1.0
6.039 0.000 0.000
0.000 6.039 0.000
0.000 0.000 6.039
K Al La
1 1 3
direct
0.500 0.500 0.500
0.000 0.000 0.000
0.000 0.500 0.000
0.000 0.000 0.500
0.500 0.000 0.000
```

Summary:
Calculated volume: 220.29 Å³ per cell
Size of the total moment: 0.00 μB/cell
ρ: 3.639 Mg/m³
Fermi-level density of states: 10.91 states/eV/cell



Q.
The following is a GGA-PBE calculation of a geometry-optimized KLa3Al structure, from Alexandria via LeMat-Bulk.

Cell and atoms, written as POSCAR:
```
KLa3Al
1.0
-4.585 -3.014 -0.680
0.146 -1.427 5.339
-3.086 4.410 1.263
K Al La
1 1 3
direct
0.000 0.000 0.000
0.500 0.500 0.500
0.000 0.500 0.000
0.000 0.000 0.500
0.500 0.000 0.000
```

Summary:
Calculated volume: 168.98 Å³ per cell
Size of the total moment: 0.00 μB/cell
ρ: 4.744 Mg/m³
Fermi-level density of states: 7.02 states/eV/cell



Most stable structure, least stable structure: P, Q.



P.
The following is a GGA-PBE calculation of a geometry-optimized KLaAl2 structure, from Alexandria via LeMat-Bulk.

Cell and atoms, written as POSCAR:
```
KLaAl2
1.0
-4.589 0.907 2.886
-4.415 2.157 -2.463
-4.452 -3.104 -0.869
K Al La
1 2 1
direct
0.000 0.000 0.000
0.250 0.250 0.250
0.750 0.750 0.750
0.500 0.500 0.500
```

Summary:
Calculated volume: 117.43 Å³ per cell
Size of the total moment: 0.00 μB/cell
ρ: 3.280 Mg/m³
Fermi-level density of states: 1.64 states/eV/cell



Q.
The following is a GGA-PBE calculation of a geometry-optimized KLaAl2 structure, from Alexandria via LeMat-Bulk.

Cell and atoms, written as POSCAR:
```
KLaAl2
1.0
-1.641 -3.395 -4.487
4.230 -3.943 -0.956
-2.816 1.505 4.915
K Al La
1 2 1
direct
0.500 0.500 0.000
0.000 0.000 0.000
0.250 0.750 0.500
0.750 0.250 0.500
```

Summary:
Calculated volume: 112.16 Å³ per cell
Size of the total moment: 0.00 μB/cell
ρ: 3.434 Mg/m³
Fermi-level density of states: 3.57 states/eV/cell



R.
The following is a GGA-PBE calculation of a geometry-optimized KLaAl2 structure, from Alexandria via LeMat-Bulk.

Cell and atoms, written as POSCAR:
```
KLaAl2
1.0
6.745 0.044 0.040
5.834 3.385 0.040
2.354 0.642 5.124
K Al La
1 2 1
direct
0.478 0.478 0.522
0.033 0.033 0.966
0.709 0.709 0.791
0.280 0.280 0.220
```

Summary:
Calculated volume: 115.37 Å³ per cell
Size of the total moment: 0.13 μB/cell
ρ: 3.339 Mg/m³
Fermi-level density of states: 2.32 states/eV/cell



Most stable structure, least stable structure: R, Q.



P.
The following is a GGA-PBE calculation of a geometry-optimized KLaAl3 structure, from Alexandria via LeMat-Bulk.

Cell and atoms, written as POSCAR:
```
KLaAl3
1.0
5.336 0.000 0.000
0.000 5.336 0.000
0.000 0.000 5.336
K Al La
1 3 1
direct
0.000 0.000 0.000
0.000 0.500 0.000
0.000 0.000 0.500
0.500 0.000 0.000
0.500 0.500 0.500
```

Summary:
Calculated volume: 151.89 Å³ per cell
Size of the total moment: 0.00 μB/cell
ρ: 2.831 Mg/m³
Fermi-level density of states: 4.28 states/eV/cell



Q.
The following is a GGA-PBE calculation of a geometry-optimized KLaAl3 structure, from Alexandria via LeMat-Bulk.

Cell and atoms, written as POSCAR:
```
KLaAl3
1.0
-3.753 -0.871 -4.405
4.456 -1.435 -3.512
-0.557 -5.606 1.584
K Al La
1 3 1
direct
0.500 0.500 0.500
0.000 0.500 0.000
0.000 0.000 0.500
0.500 0.000 0.000
0.000 0.000 0.000
```

Summary:
Calculated volume: 200.42 Å³ per cell
Size of the total moment: 0.00 μB/cell
ρ: 2.145 Mg/m³
Fermi-level density of states: 7.11 states/eV/cell



Most stable structure, least stable structure: Q, P.



P.
The following is a GGA-PBE calculation of a geometry-optimized K2LaAlTc structure, from Alexandria via LeMat-Bulk.

Cell and atoms, written as POSCAR:
```
K2LaAlTc
1.0
-1.381 5.550 1.364
-2.918 -1.614 3.612
4.525 0.205 3.748
K Al Tc La
2 1 1 1
direct
0.000 0.000 0.500
0.500 0.000 0.000
0.000 0.500 0.000
0.000 0.000 0.000
0.500 0.500 0.500
```

Summary:
Calculated volume: 169.92 Å³ per cell
Size of the total moment: 0.89 μB/cell
ρ: 3.343 Mg/m³
Fermi-level density of states: 5.06 states/eV/cell



Q.
The following is a GGA-PBE calculation of a geometry-optimized K2LaAlTc structure, from Alexandria via LeMat-Bulk.

Cell and atoms, written as POSCAR:
```
K2LaAlTc
1.0
6.230 0.000 0.000
0.000 5.912 0.000
0.000 0.000 6.230
K Al Tc La
2 1 1 1
direct
0.000 0.000 0.500
0.500 0.000 0.000
0.000 0.000 0.000
0.500 0.500 0.500
0.000 0.500 0.000
```

Summary:
Calculated volume: 229.50 Å³ per cell
Size of the total moment: 3.78 μB/cell
ρ: 2.475 Mg/m³
Fermi-level density of states: 6.04 states/eV/cell



Most stable structure, least stable structure: P, Q.